Compound: Li2MnO2F
Source: Alexandria via LeMat-Bulk
Functional: GGA+U
Structure: optimized geometry

Values from the calculation:
- ΔE to the lowest computed polymorph: 0.15 eV per formula unit
- VASP energy: -143.69 eV for the cell shown
- Magnetic moment: 4.00 μB/f.u.
- Space group: Pnma (62)

Unit cell a=5.9289 b=4.0712 c=8.9462 alpha=90.00 beta=90.00 gamma=90.00
Sites, in units of the cell vectors:
Li 0.1136 0.2500 0.0865
Li 0.1388 0.2500 0.7533
Li 0.3612 0.7500 0.2533
Li 0.3864 0.7500 0.5865
Li 0.6136 0.2500 0.4135
Li 0.6388 0.2500 0.7467
Li 0.8612 0.7500 0.2467
Li 0.8864 0.7500 0.9135
Mn 0.1129 0.2500 0.4019
Mn 0.3871 0.7500 0.9019
Mn 0.6129 0.2500 0.0981
Mn 0.8871 0.7500 0.5981
O 0.1056 0.7500 0.4256
O 0.1508 0.7500 0.7574
O 0.3492 0.2500 0.2574
O 0.3944 0.2500 0.9256
O 0.6056 0.7500 0.0744
O 0.6508 0.7500 0.7426
O 0.8492 0.2500 0.2426
O 0.8944 0.2500 0.5744
F 0.1169 0.7500 0.0795
F 0.3831 0.2500 0.5795
F 0.6169 0.7500 0.4205
F 0.8831 0.2500 0.9205